# 1
A plane-wave DFT calculation with PBE was carried out for a relaxed AlCd2Pd8 crystal.

**Spin magnetization**: 0.0 Bohr magnetons per cell
**DOS at the Fermi energy**: 5.83 states/eV/cell
**Relative energy among the computed polymorphs**: 48 meV/atom
**ΔH_f (0 K)**: -0.344 eV/atom

CIF file:
```
data_AlCd2Pd8
_space_group_name_H-M_alt 'P 1'
_space_group_IT_number 1
_cell_length_a 7.6724
_cell_length_b 7.6724
_cell_length_c 7.6724
_cell_angle_alpha 145.46
_cell_angle_beta 134.32
_cell_angle_gamma 58.51
loop_
_space_group_symop_operation_xyz
'x,y,z'
loop_
_atom_site_label
_atom_site_type_symbol
_atom_site_fract_x
_atom_site_fract_y
_atom_site_fract_z
_atom_site_occupancy
Al1 Al 0.0000 0.0000 0.0000 1
Cd1 Cd 0.3113 0.3113 0.0000 1
Cd2 Cd 0.6887 0.6887 0.0000 1
Pd1 Pd 0.1275 0.8630 0.2644 1
Pd2 Pd 0.1734 0.6734 0.5000 1
Pd3 Pd 0.2555 0.5000 0.7555 1
Pd4 Pd 0.4014 0.1369 0.2644 1
Pd5 Pd 0.5986 0.8630 0.7356 1
Pd6 Pd 0.7445 0.5000 0.2445 1
Pd7 Pd 0.8266 0.3266 0.5000 1
Pd8 Pd 0.8725 0.1369 0.7356 1
```

***

# 2
A plane-wave DFT calculation with PBE was carried out for a relaxed NaMg3Ta2N6 crystal.

**Spin magnetization**: 0.0 Bohr magnetons per cell
**DOS at the Fermi energy**: 5.52 states/eV/cell
**Formation energy without anion corrections**: -0.820 eV per atom

CIF file:
```
data_NaMg3Ta2N6
_space_group_name_H-M_alt 'P 1'
_space_group_IT_number 1
_cell_length_a 7.0120
_cell_length_b 7.0120
_cell_length_c 6.3319
_cell_angle_alpha 101.68
_cell_angle_beta 101.68
_cell_angle_gamma 25.81
loop_
_space_group_symop_operation_xyz
'x,y,z'
loop_
_atom_site_label
_atom_site_type_symbol
_atom_site_fract_x
_atom_site_fract_y
_atom_site_fract_z
_atom_site_occupancy
Na1 Na 0.0000 0.0000 0.0000 1
Mg1 Mg 0.0000 0.0000 0.5000 1
Mg2 Mg 0.3394 0.3394 0.1696 1
Mg3 Mg 0.6606 0.6606 0.8304 1
Ta1 Ta 0.3421 0.3421 0.6760 1
Ta2 Ta 0.6579 0.6579 0.3240 1
N1 N 0.1706 0.1706 0.5712 1
N2 N 0.1743 0.1743 0.1125 1
N3 N 0.4874 0.4874 0.7225 1
N4 N 0.5126 0.5126 0.2775 1
N5 N 0.8257 0.8257 0.8875 1
N6 N 0.8294 0.8294 0.4288 1
```

***

# 3
A plane-wave DFT calculation with PBE was carried out for a relaxed Gd2TiSn crystal.

**Spin magnetization**: 17.4 Bohr magnetons per cell
**DOS at the Fermi energy**: 3.87 states/eV/cell
**ΔH_f (0 K)**: -0.274 eV/atom

CIF file:
```
data_Gd2TiSn
_space_group_name_H-M_alt 'P 1'
_space_group_IT_number 1
_cell_length_a 4.9186
_cell_length_b 4.9186
_cell_length_c 4.2858
_cell_angle_alpha 90.00
_cell_angle_beta 90.00
_cell_angle_gamma 90.00
loop_
_space_group_symop_operation_xyz
'x,y,z'
loop_
_atom_site_label
_atom_site_type_symbol
_atom_site_fract_x
_atom_site_fract_y
_atom_site_fract_z
_atom_site_occupancy
Gd1 Gd 0.0000 0.5000 0.0000 1
Gd2 Gd 0.5000 0.0000 0.0000 1
Ti1 Ti 0.0000 0.0000 0.5000 1
Sn1 Sn 0.5000 0.5000 0.5000 1
```

***

# 4
A plane-wave DFT calculation with PBE was carried out for a relaxed Nd2ErC2I2 crystal.

**Spin magnetization**: 0.0 Bohr magnetons per cell
**DOS at the Fermi energy**: 3.58 states/eV/cell
**Formation energy without anion corrections**: -0.515 eV per atom

CIF file:
```
data_Nd2ErC2I2
_space_group_name_H-M_alt 'P 1'
_space_group_IT_number 1
_cell_length_a 4.4899
_cell_length_b 4.4899
_cell_length_c 19.8430
_cell_angle_alpha 90.00
_cell_angle_beta 90.00
_cell_angle_gamma 90.00
loop_
_space_group_symop_operation_xyz
'x,y,z'
loop_
_atom_site_label
_atom_site_type_symbol
_atom_site_fract_x
_atom_site_fract_y
_atom_site_fract_z
_atom_site_occupancy
Nd1 Nd 0.0000 0.0000 0.0794 1
Nd2 Nd 0.0000 0.0000 0.9206 1
Nd3 Nd 0.5000 0.5000 0.4206 1
Nd4 Nd 0.5000 0.5000 0.5794 1
Er1 Er 0.0000 0.0000 0.5000 1
Er2 Er 0.5000 0.5000 0.0000 1
C1 C 0.0000 0.5000 0.0000 1
C2 C 0.0000 0.5000 0.5000 1
C3 C 0.5000 0.0000 0.0000 1
C4 C 0.5000 0.0000 0.5000 1
I1 I 0.0000 0.0000 0.3369 1
I2 I 0.0000 0.0000 0.6631 1
I3 I 0.5000 0.5000 0.1631 1
I4 I 0.5000 0.5000 0.8369 1
```

***

# 5
A plane-wave DFT calculation with PBE was carried out for a relaxed KBi2Rh crystal.

**Spin magnetization**: 0.0 Bohr magnetons per cell
**DOS at the Fermi energy**: 1.84 states/eV/cell
**Relative energy among the computed polymorphs**: 58 meV/atom
**ΔH_f (0 K)**: -0.164 eV/atom

CIF file:
```
data_KBi2Rh
_space_group_name_H-M_alt 'P 1'
_space_group_IT_number 1
_cell_length_a 3.4741
_cell_length_b 3.4741
_cell_length_c 9.0303
_cell_angle_alpha 90.00
_cell_angle_beta 90.00
_cell_angle_gamma 90.00
loop_
_space_group_symop_operation_xyz
'x,y,z'
loop_
_atom_site_label
_atom_site_type_symbol
_atom_site_fract_x
_atom_site_fract_y
_atom_site_fract_z
_atom_site_occupancy
K1 K 0.0000 0.0000 0.0000 1
Bi1 Bi 0.5000 0.5000 0.3183 1
Bi2 Bi 0.5000 0.5000 0.6817 1
Rh1 Rh 0.0000 0.0000 0.5000 1
```

***

# 6
A plane-wave DFT calculation with PBE was carried out for a relaxed SrPrIn4 crystal.

**Spin magnetization**: 0.0 Bohr magnetons per cell
**DOS at the Fermi energy**: 4.20 states/eV/cell
**Relative energy among the computed polymorphs**: 33 meV/atom
**ΔH_f (0 K)**: -0.392 eV/atom

CIF file:
```
data_SrPrIn4
_space_group_name_H-M_alt 'P 1'
_space_group_IT_number 1
_cell_length_a 6.2002
_cell_length_b 6.2002
_cell_length_c 6.2002
_cell_angle_alpha 60.00
_cell_angle_beta 60.00
_cell_angle_gamma 60.00
loop_
_space_group_symop_operation_xyz
'x,y,z'
loop_
_atom_site_label
_atom_site_type_symbol
_atom_site_fract_x
_atom_site_fract_y
_atom_site_fract_z
_atom_site_occupancy
Sr1 Sr 0.0000 0.0000 0.0000 1
Pr1 Pr 0.7500 0.7500 0.7500 1
In1 In 0.3754 0.3754 0.3754 1
In2 In 0.3754 0.3754 0.8739 1
In3 In 0.3754 0.8739 0.3754 1
In4 In 0.8739 0.3754 0.3754 1
```

***

# 7
A plane-wave DFT calculation with PBE was carried out for a relaxed Li2CaZnCu crystal.

**Spin magnetization**: 0.0 Bohr magnetons per cell
**DOS at the Fermi energy**: 2.49 states/eV/cell
**Relative energy among the computed polymorphs**: 0 meV/atom
**ΔH_f (0 K)**: 0.002 eV/atom

CIF file:
```
data_Li2CaZnCu
_space_group_name_H-M_alt 'P 1'
_space_group_IT_number 1
_cell_length_a 4.7300
_cell_length_b 4.7300
_cell_length_c 4.7316
_cell_angle_alpha 90.00
_cell_angle_beta 90.00
_cell_angle_gamma 90.00
loop_
_space_group_symop_operation_xyz
'x,y,z'
loop_
_atom_site_label
_atom_site_type_symbol
_atom_site_fract_x
_atom_site_fract_y
_atom_site_fract_z
_atom_site_occupancy
Li1 Li 0.0000 0.5000 0.0000 1
Li2 Li 0.5000 0.0000 0.0000 1
Ca1 Ca 0.0000 0.0000 0.5000 1
Zn1 Zn 0.5000 0.5000 0.5000 1
Cu1 Cu 0.5000 0.5000 0.0000 1
```

***

# 8
A plane-wave DFT calculation with PBE was carried out for a relaxed Ba2CaZr crystal.

**Spin magnetization**: 0.0 Bohr magnetons per cell
**DOS at the Fermi energy**: 7.92 states/eV/cell
**Relative energy among the computed polymorphs**: 98 meV/atom
**ΔH_f (0 K)**: 0.502 eV/atom

CIF file:
```
data_Ba2CaZr
_space_group_name_H-M_alt 'P 1'
_space_group_IT_number 1
_cell_length_a 3.8321
_cell_length_b 5.2113
_cell_length_c 8.2943
_cell_angle_alpha 90.00
_cell_angle_beta 90.00
_cell_angle_gamma 90.00
loop_
_space_group_symop_operation_xyz
'x,y,z'
loop_
_atom_site_label
_atom_site_type_symbol
_atom_site_fract_x
_atom_site_fract_y
_atom_site_fract_z
_atom_site_occupancy
Ba1 Ba 0.0000 0.0000 0.2222 1
Ba2 Ba 0.0000 0.0000 0.7778 1
Ca1 Ca 0.5000 0.5000 0.5000 1
Zr1 Zr 0.5000 0.5000 0.0000 1
```

***

# 9
A plane-wave DFT calculation with PBE was carried out for a relaxed SrTaIr3 crystal.

**Spin magnetization**: 0.0 Bohr magnetons per cell
**DOS at the Fermi energy**: 3.43 states/eV/cell
**Relative energy among the computed polymorphs**: 2188 meV/atom
**ΔH_f (0 K)**: 2.737 eV/atom

CIF file:
```
data_SrTaIr3
_space_group_name_H-M_alt 'P 1'
_space_group_IT_number 1
_cell_length_a 4.7963
_cell_length_b 4.7963
_cell_length_c 4.7963
_cell_angle_alpha 90.00
_cell_angle_beta 90.00
_cell_angle_gamma 90.00
loop_
_space_group_symop_operation_xyz
'x,y,z'
loop_
_atom_site_label
_atom_site_type_symbol
_atom_site_fract_x
_atom_site_fract_y
_atom_site_fract_z
_atom_site_occupancy
Sr1 Sr 0.0000 0.0000 0.0000 1
Ta1 Ta 0.5000 0.5000 0.5000 1
Ir1 Ir 0.0000 0.0000 0.5000 1
Ir2 Ir 0.0000 0.5000 0.0000 1
Ir3 Ir 0.5000 0.0000 0.0000 1
```

***

# 10
A plane-wave DFT calculation with PBE was carried out for a relaxed AcDy2ErS4 crystal.

**Spin magnetization**: 0.0 Bohr magnetons per cell
**DOS at the Fermi energy**: 4.53 states/eV/cell
**Formation energy without anion corrections**: -1.938 eV per atom

CIF file:
```
data_AcDy2ErS4
_space_group_name_H-M_alt 'P 1'
_space_group_IT_number 1
_cell_length_a 6.9001
_cell_length_b 3.9413
_cell_length_c 7.0496
_cell_angle_alpha 90.00
_cell_angle_beta 108.72
_cell_angle_gamma 90.00
loop_
_space_group_symop_operation_xyz
'x,y,z'
loop_
_atom_site_label
_atom_site_type_symbol
_atom_site_fract_x
_atom_site_fract_y
_atom_site_fract_z
_atom_site_occupancy
Ac1 Ac 0.0000 0.0000 0.0000 1
Dy1 Dy 0.5000 0.0000 0.5000 1
Dy2 Dy 0.5000 0.5000 0.0000 1
Er1 Er 0.0000 0.5000 0.5000 1
S1 S 0.2557 0.0000 0.7366 1
S2 S 0.2680 0.5000 0.2721 1
S3 S 0.7320 0.5000 0.7279 1
S4 S 0.7443 0.0000 0.2634 1
```

***

# 11
A plane-wave DFT calculation with PBE was carried out for a relaxed InFeHg crystal.

**Spin magnetization**: 9.6 Bohr magnetons per cell
**DOS at the Fermi energy**: 12.32 states/eV/cell
**Relative energy among the computed polymorphs**: 44 meV/atom
**ΔH_f (0 K)**: 0.406 eV/atom

CIF file:
```
data_InFeHg
_space_group_name_H-M_alt 'P 1'
_space_group_IT_number 1
_cell_length_a 6.3609
_cell_length_b 6.3609
_cell_length_c 6.3609
_cell_angle_alpha 90.00
_cell_angle_beta 90.00
_cell_angle_gamma 90.00
loop_
_space_group_symop_operation_xyz
'x,y,z'
loop_
_atom_site_label
_atom_site_type_symbol
_atom_site_fract_x
_atom_site_fract_y
_atom_site_fract_z
_atom_site_occupancy
In1 In 0.0000 0.0000 0.0000 1
In2 In 0.0000 0.5000 0.5000 1
In3 In 0.5000 0.0000 0.5000 1
In4 In 0.5000 0.5000 0.0000 1
Fe1 Fe 0.2500 0.2500 0.2500 1
Fe2 Fe 0.2500 0.7500 0.7500 1
Fe3 Fe 0.7500 0.2500 0.7500 1
Fe4 Fe 0.7500 0.7500 0.2500 1
Hg1 Hg 0.0000 0.0000 0.5000 1
Hg2 Hg 0.0000 0.5000 0.0000 1
Hg3 Hg 0.5000 0.0000 0.0000 1
Hg4 Hg 0.5000 0.5000 0.5000 1
```

***

# 12
A plane-wave DFT calculation with PBE was carried out for a relaxed SrLaRe2 crystal.

**Spin magnetization**: 11.6 Bohr magnetons per cell
**DOS at the Fermi energy**: 24.97 states/eV/cell
**Relative energy among the computed polymorphs**: 1058 meV/atom
**ΔH_f (0 K)**: 1.283 eV/atom

CIF file:
```
data_SrLaRe2
_space_group_name_H-M_alt 'P 1'
_space_group_IT_number 1
_cell_length_a 7.2204
_cell_length_b 7.2204
_cell_length_c 7.2204
_cell_angle_alpha 90.00
_cell_angle_beta 90.00
_cell_angle_gamma 90.00
loop_
_space_group_symop_operation_xyz
'x,y,z'
loop_
_atom_site_label
_atom_site_type_symbol
_atom_site_fract_x
_atom_site_fract_y
_atom_site_fract_z
_atom_site_occupancy
Sr1 Sr 0.0000 0.0000 0.0000 1
Sr2 Sr 0.0000 0.5000 0.5000 1
Sr3 Sr 0.5000 0.0000 0.5000 1
Sr4 Sr 0.5000 0.5000 0.0000 1
La1 La 0.0000 0.0000 0.5000 1
La2 La 0.0000 0.5000 0.0000 1
La3 La 0.5000 0.0000 0.0000 1
La4 La 0.5000 0.5000 0.5000 1
Re1 Re 0.2500 0.2500 0.2500 1
Re2 Re 0.2500 0.2500 0.7500 1
Re3 Re 0.2500 0.7500 0.2500 1
Re4 Re 0.2500 0.7500 0.7500 1
Re5 Re 0.7500 0.2500 0.2500 1
Re6 Re 0.7500 0.2500 0.7500 1
Re7 Re 0.7500 0.7500 0.2500 1
Re8 Re 0.7500 0.7500 0.7500 1
```